# CrReW2

CrReW2 after structural relaxation (PBE, the Alexandria database).

Computed properties:
VASP energy, eV/atom: -11.917
Energy of formation, eV per atom: 0.077
Energy relative to the lowest polymorph listed for this composition, eV/atom: 0.050
Magnetization, μB/cell: 0.00

Cell: 3.1102 4.3620 4.3910 Å, 90.00 90.00 90.00°
Space group Pmmm (No. 47)
Symmetry-distinct sites (fractional):
Cr: 0.0000 0.0000 0.0000
Re: 0.5000 0.0000 0.5000
W: 0.0000 0.5000 0.5000
W: 0.5000 0.5000 0.0000